Record 1
DyPa2InN5 after structural relaxation, computed with GGA-PBE.

a b c (Å): 7.2613 7.2613 11.3422
angles (deg): 90.00 90.00 151.92
Sites, in units of the cell vectors:
1 Dy 0.2353 0.7647 0.5000
2 Dy 0.7647 0.2353 0.0000
3 Pa 0.1291 0.8709 0.7491
4 Pa 0.1424 0.8576 0.2289
5 Pa 0.8576 0.1424 0.7289
6 Pa 0.8709 0.1291 0.2491
7 In 0.4960 0.5040 0.9984
8 In 0.5040 0.4960 0.4984
9 N 0.0749 0.9251 0.5594
10 N 0.2792 0.7208 0.8467
11 N 0.2847 0.7153 0.1578
12 N 0.3752 0.6248 0.6074
13 N 0.4614 0.5386 0.3127
14 N 0.5386 0.4614 0.8127
15 N 0.6248 0.3752 0.1074
16 N 0.7153 0.2847 0.6578
17 N 0.7208 0.2792 0.3467
18 N 0.9251 0.0749 0.0594

## Properties
Final energy: -8.673 eV per atom
Raw formation energy: -1.121 eV/atom
Mass density: 9549 kg/m³

---

Record 2
SbAu after structural relaxation, computed with GGA-PBE.

a b c (Å): 3.5463 3.5463 7.4197
angles (deg): 90.00 90.00 90.00
Sites, in units of the cell vectors:
1 Sb 0.2500 0.2500 0.1867
2 Sb 0.7500 0.7500 0.8133
3 Au 0.2500 0.2500 0.6093
4 Au 0.7500 0.7500 0.3907

## Properties
Final energy: -3.612 eV per atom
Raw formation energy: 0.088 eV/atom
Mass density: 11344 kg/m³

---

Record 3
BaInBi4 after structural relaxation, computed with GGA-PBE.

a b c (Å): 7.1177 7.1187 9.6943
angles (deg): 91.29 110.22 93.77
Sites, in units of the cell vectors:
1 Ba 0.2501 0.2500 0.0003
2 Ba 0.7499 0.7500 0.9997
3 In 0.0000 0.0000 0.5000
4 In 0.5000 0.5000 0.5000
5 Bi 0.0459 0.5984 0.3656
6 Bi 0.1651 0.7722 0.8292
7 Bi 0.3354 0.7279 0.1716
8 Bi 0.4536 0.9013 0.6340
9 Bi 0.5464 0.0987 0.3660
10 Bi 0.6646 0.2721 0.8284
11 Bi 0.8349 0.2278 0.1708
12 Bi 0.9541 0.4016 0.6344

## Properties
Final energy: -3.588 eV per atom
Formation enthalpy at 0 K: -130 kJ/mol of formula units
Mass density: 7866 kg/m³
Energy relative to the lowest polymorph listed for this composition: 0.16 eV per formula unit

---

Record 4
GdCdRh4 after structural relaxation, computed with GGA-PBE.

a b c (Å): 5.2929 5.2929 5.2929
angles (deg): 60.00 60.00 60.00
Sites, in units of the cell vectors:
1 Gd 0.0000 0.0000 0.0000
2 Cd 0.2500 0.2500 0.2500
3 Rh 0.1262 0.6246 0.6246
4 Rh 0.6246 0.1262 0.6246
5 Rh 0.6246 0.6246 0.1262
6 Rh 0.6246 0.6246 0.6246

## Properties
Final energy: -7.819 eV per atom
Formation enthalpy at 0 K: -243 kJ/mol of formula units
Mass density: 10790 kg/m³

---

Record 5
Er2Sc2Ge3 after structural relaxation, computed with GGA-PBE.

a b c (Å): 5.4980 5.4980 7.7571
angles (deg): 98.47 98.47 47.39
Sites, in units of the cell vectors:
1 Er 0.1305 0.1305 0.3490
2 Er 0.8695 0.8695 0.6510
3 Sc 0.3569 0.3569 0.0623
4 Sc 0.6431 0.6431 0.9377
5 Ge 0.0000 0.0000 0.0000
6 Ge 0.1917 0.1917 0.7260
7 Ge 0.8083 0.8083 0.2740

## Properties
Final energy: -5.744 eV per atom
Formation enthalpy at 0 K: -441 kJ/mol of formula units
Mass density: 6262 kg/m³

---

Record 6
FeSiRh2 after structural relaxation, computed with GGA-PBE.

a b c (Å): 3.8788 5.1045 5.1045
angles (deg): 31.47 90.00 90.00
Sites, in units of the cell vectors:
1 Fe 0.0000 0.0000 0.0000
2 Si 0.5000 0.8492 0.8492
3 Rh 0.0000 0.2661 0.2661
4 Rh 0.5000 0.5951 0.5951

## Properties
Final energy: -7.478 eV per atom
Raw formation energy: -0.330 eV/atom
Mass density: 9120 kg/m³